Entry 1:
Below is a crystal of TaCdInTc2 relaxed with PBEsol, with properties calculated at the meta-GGA SCAN level. Values from VASP.

The structure in Quantum ESPRESSO input format:
```
&SYSTEM
  ibrav = 0, nat = 5, ntyp = 4
/
ATOMIC_SPECIES
Cd 112.41 Cd.upf
In 114.82 In.upf
Tc 98.00 Tc.upf
Ta 180.95 Ta.upf
CELL_PARAMETERS angstrom
4.785 0.000 0.000
0.000 4.785 0.000
0.000 0.000 4.929
ATOMIC_POSITIONS angstrom
Cd 2.393 2.393 2.465
In 0.000 0.000 0.000
Tc 2.393 0.000 0.000
Ta 0.000 0.000 2.465
Tc 0.000 2.393 0.000
```

Results
symmetry: P4/mmm (123)
formation energy: 2.184 eV/atom
spin magnetization: 2.22 μB/f.u.
calculated volume: 112.9 Å³ per cell



Entry 2:
Below is a crystal of CdInTc2 relaxed with PBEsol, with properties calculated at the meta-GGA SCAN level. Values from VASP.

The structure in Quantum ESPRESSO input format:
```
&SYSTEM
  ibrav = 0, nat = 4, ntyp = 3
/
ATOMIC_SPECIES
Cd 112.41 Cd.upf
In 114.82 In.upf
Tc 98.00 Tc.upf
CELL_PARAMETERS angstrom
-0.092 0.125 -2.832
-2.403 -0.670 1.350
-2.341 9.385 0.489
ATOMIC_POSITIONS angstrom
Cd -1.213 4.860 0.253
In -1.788 1.894 -0.628
Tc -3.056 6.974 -0.364
Tc -2.293 9.190 0.479
```

Results
symmetry: Cmm2 (35)
excess energy over the best structure of this formula in the dataset: 0.0 meV/atom
formation energy: 0.394 eV/atom
spin magnetization: 0.00 μB/f.u.
calculated volume: 69.3 Å³ per cell



Entry 3:
Below is a crystal of CdInTc2 relaxed with PBEsol, with properties calculated at the meta-GGA SCAN level. Values from VASP.

The structure in Quantum ESPRESSO input format:
```
&SYSTEM
  ibrav = 0, nat = 4, ntyp = 3
/
ATOMIC_SPECIES
Cd 112.41 Cd.upf
In 114.82 In.upf
Tc 98.00 Tc.upf
CELL_PARAMETERS angstrom
-1.066 -2.114 1.442
2.286 -2.604 -4.056
3.269 2.036 3.701
ATOMIC_POSITIONS angstrom
Cd -0.533 -1.057 0.721
In 1.143 -1.302 -2.028
Tc 1.634 1.018 1.851
Tc 2.245 -1.341 0.544
```

Results
symmetry: C2/m (12)
excess energy over the best structure of this formula in the dataset: 122.4 meV/atom
formation energy: 0.516 eV/atom
spin magnetization: 0.00 μB/f.u.
calculated volume: 66.4 Å³ per cell



Entry 4:
Below is a crystal of CdInTe3 relaxed with PBEsol, with properties calculated at the meta-GGA SCAN level. Values from VASP.

The structure in Quantum ESPRESSO input format:
```
&SYSTEM
  ibrav = 0, nat = 5, ntyp = 3
/
ATOMIC_SPECIES
Cd 112.41 Cd.upf
Te 127.60 Te.upf
In 114.82 In.upf
CELL_PARAMETERS angstrom
-4.429 0.421 -3.294
3.019 -1.777 -4.287
-1.383 -5.226 1.192
ATOMIC_POSITIONS angstrom
Cd 0.000 0.000 0.000
Te 1.510 -0.888 -2.143
Te -2.215 0.210 -1.647
In -1.397 -3.291 -3.194
Te -0.692 -2.613 0.596
```

Results
energy relative to the elements, uncorrected: 30 kJ per mole of atoms
symmetry: Pm-3m (221)
spin magnetization: 0.00 μB/f.u.
calculated volume: 169.7 Å³ per cell



Entry 5:
Below is a crystal of CdInTe relaxed with PBEsol, with properties calculated at the meta-GGA SCAN level. Values from VASP.

The structure in Quantum ESPRESSO input format:
```
&SYSTEM
  ibrav = 0, nat = 3, ntyp = 3
/
ATOMIC_SPECIES
Te 127.60 Te.upf
In 114.82 In.upf
Cd 112.41 Cd.upf
CELL_PARAMETERS angstrom
-0.107 2.678 1.687
-1.516 -2.174 1.734
7.746 -2.232 1.871
ATOMIC_POSITIONS angstrom
Te 4.682 -1.337 2.418
In 1.419 -0.385 2.862
Cd 0.023 -0.007 0.012
```

Results
energy relative to the elements, uncorrected: 10 kJ per mole of atoms
symmetry: Fmm2 (42)
excess energy over the best structure of this formula in the dataset: 65.5 meV/atom
spin magnetization: 0.00 μB/f.u.
calculated volume: 77.7 Å³ per cell



Entry 6:
Below is a crystal of CdInTe relaxed with PBEsol, with properties calculated at the meta-GGA SCAN level. Values from VASP.

The structure in Quantum ESPRESSO input format:
```
&SYSTEM
  ibrav = 0, nat = 3, ntyp = 3
/
ATOMIC_SPECIES
Cd 112.41 Cd.upf
Te 127.60 Te.upf
In 114.82 In.upf
CELL_PARAMETERS angstrom
3.269 0.000 0.000
0.000 3.960 0.000
-1.634 -1.980 5.997
ATOMIC_POSITIONS angstrom
Cd 0.000 0.000 0.006
Te 0.000 0.000 4.077
In 1.634 1.980 1.914
```

Results
energy relative to the elements, uncorrected: 3 kJ per mole of atoms
symmetry: Imm2 (44)
excess energy over the best structure of this formula in the dataset: 0.0 meV/atom
spin magnetization: 0.00 μB/f.u.
calculated volume: 77.6 Å³ per cell



Entry 7:
Below is a crystal of CdInTe4 relaxed with PBEsol, with properties calculated at the meta-GGA SCAN level. Values from VASP.

The structure in Quantum ESPRESSO input format:
```
&SYSTEM
  ibrav = 0, nat = 6, ntyp = 3
/
ATOMIC_SPECIES
Te 127.60 Te.upf
Cd 112.41 Cd.upf
In 114.82 In.upf
CELL_PARAMETERS angstrom
6.373 0.000 0.000
3.187 5.519 0.000
3.187 1.840 5.204
ATOMIC_POSITIONS angstrom
Te 6.373 5.507 1.956
Te 7.956 2.766 1.956
Cd 9.560 5.519 3.903
Te 4.791 2.766 1.956
In 0.000 0.000 0.000
Te 6.373 3.680 4.540
```

Results
energy relative to the elements, uncorrected: 25 kJ per mole of atoms
symmetry: F-43m (216)
spin magnetization: 0.00 μB/f.u.
calculated volume: 183.0 Å³ per cell



Entry 8:
Below is a crystal of Zr2CdInTe relaxed with PBEsol, with properties calculated at the meta-GGA SCAN level. Values from VASP.

The structure in Quantum ESPRESSO input format:
```
&SYSTEM
  ibrav = 0, nat = 5, ntyp = 4
/
ATOMIC_SPECIES
Te 127.60 Te.upf
Zr 91.22 Zr.upf
In 114.82 In.upf
Cd 112.41 Cd.upf
CELL_PARAMETERS angstrom
4.878 0.000 0.000
0.000 5.334 0.000
0.000 0.000 5.334
ATOMIC_POSITIONS angstrom
Te 2.439 2.667 2.667
Zr 0.000 0.000 2.667
In 2.439 0.000 0.000
Cd 0.000 0.000 0.000
Zr 0.000 2.667 0.000
```

Results
energy relative to the elements, uncorrected: 65 kJ per mole of atoms
symmetry: P4/mmm (123)
spin magnetization: 1.89 μB/f.u.
calculated volume: 138.8 Å³ per cell



Please write out number 5 again, unchanged.
Below is a crystal of CdInTe relaxed with PBEsol, with properties calculated at the meta-GGA SCAN level. Values from VASP.

The structure in Quantum ESPRESSO input format:
```
&SYSTEM
  ibrav = 0, nat = 3, ntyp = 3
/
ATOMIC_SPECIES
Te 127.60 Te.upf
In 114.82 In.upf
Cd 112.41 Cd.upf
CELL_PARAMETERS angstrom
-0.107 2.678 1.687
-1.516 -2.174 1.734
7.746 -2.232 1.871
ATOMIC_POSITIONS angstrom
Te 4.682 -1.337 2.418
In 1.419 -0.385 2.862
Cd 0.023 -0.007 0.012
```

Results
energy relative to the elements, uncorrected: 10 kJ per mole of atoms
symmetry: Fmm2 (42)
excess energy over the best structure of this formula in the dataset: 65.5 meV/atom
spin magnetization: 0.00 μB/f.u.
calculated volume: 77.7 Å³ per cell



- The lowest calculated volume belongs to which entry?
  number 3